Density functional theory data (GGA-PBE) for a relaxed Mn2FeP crystal.

Unit cell a=7.9834 b=2.9696 c=3.9883 alpha=90.00 beta=106.37 gamma=90.00
Space group Cm (No. 8)
Inequivalent atoms, fractional coordinates:
Mn 0.0000 0.0000 0.0000 (multiplicity 2)
Mn 0.2423 0.5000 0.1450 (multiplicity 2)
Fe 0.0139 0.5000 0.5216 (multiplicity 2)
P 0.2425 0.0000 0.6482 (multiplicity 2)

raw total energy = -8.25 eV/atom
calculated volume = 11.34 Å³ per atom
ΔE_f = -0.194 eV per atom
crystal system = monoclinic

---

Density functional theory data (GGA-PBE) for a relaxed Mn2FeP crystal.

Unit cell a=2.7364 b=3.9248 c=7.9101 alpha=90.00 beta=90.00 gamma=90.00
Space group Imm2 (No. 44)
Inequivalent atoms, fractional coordinates:
Mn 0.0000 0.0000 0.0000 (multiplicity 2)
Mn 0.0000 0.5000 0.2294 (multiplicity 2)
Fe 0.0000 0.5000 0.7750 (multiplicity 2)
P 0.0000 0.0000 0.4986 (multiplicity 2)

raw total energy = -8.26 eV/atom
calculated volume = 10.62 Å³ per atom
ΔE_f = -0.209 eV per atom
crystal system = orthorhombic

---

Density functional theory data (GGA-PBE) for a relaxed MnFe2P crystal.

Unit cell a=2.6616 b=3.9234 c=8.0083 alpha=90.00 beta=90.00 gamma=90.00
Space group Immm (No. 71)
Inequivalent atoms, fractional coordinates:
Mn 0.0000 0.0000 0.0000 (multiplicity 2)
Fe 0.0000 0.5000 0.2218 (multiplicity 4)
P 0.0000 0.0000 0.5000 (multiplicity 2)

raw total energy = -8.06 eV/atom
calculated volume = 10.45 Å³ per atom
ΔE_f = -0.179 eV per atom
crystal system = orthorhombic

---

Density functional theory data (GGA-PBE) for a relaxed MnFeP crystal.

Unit cell a=3.7965 b=3.7965 c=2.6840 alpha=90.00 beta=90.00 gamma=120.00
Space group P-6m2 (No. 187)
Inequivalent atoms, fractional coordinates:
Mn 0.0000 0.0000 0.0000 (multiplicity 1)
Fe 0.3333 0.6667 0.5000 (multiplicity 1)
P 0.6667 0.3333 0.5000 (multiplicity 1)

raw total energy = -7.94 eV/atom
calculated volume = 11.17 Å³ per atom
ΔE_f = -0.261 eV per atom
crystal system = hexagonal

---

Density functional theory data (GGA-PBE) for a relaxed MnFeP crystal.

Unit cell a=4.1028 b=2.7524 c=5.9095 alpha=90.00 beta=101.61 gamma=90.00
Space group Pm (No. 6)
Inequivalent atoms, fractional coordinates:
Mn 0.0000 0.0000 0.0000 (multiplicity 1)
Mn 0.1671 0.0000 0.6110 (multiplicity 1)
Fe 0.5709 0.0000 0.2920 (multiplicity 1)
Fe 0.6862 0.5000 0.6739 (multiplicity 1)
P 0.0152 0.5000 0.3161 (multiplicity 1)
P 0.4233 0.5000 0.9600 (multiplicity 1)

raw total energy = -7.91 eV/atom
calculated volume = 10.89 Å³ per atom
ΔE_f = -0.229 eV per atom
crystal system = monoclinic

---

Density functional theory data (GGA-PBE) for a relaxed MnFeP crystal.

Unit cell a=3.9805 b=2.7829 c=6.1666 alpha=90.00 beta=101.61 gamma=90.00
Space group Pm (No. 6)
Inequivalent atoms, fractional coordinates:
Mn 0.0000 0.0000 0.0000 (multiplicity 1)
Mn 0.0474 0.5000 0.6701 (multiplicity 1)
Fe 0.4238 0.0000 0.4067 (multiplicity 1)
Fe 0.4840 0.5000 0.0720 (multiplicity 1)
P 0.5058 0.0000 0.7707 (multiplicity 1)
P 0.9694 0.5000 0.3029 (multiplicity 1)

raw total energy = -7.97 eV/atom
calculated volume = 11.15 Å³ per atom
ΔE_f = -0.287 eV per atom
crystal system = monoclinic

---

Density functional theory data (GGA-PBE) for a relaxed Mn2FeP crystal.

Unit cell a=4.9234 b=8.1699 c=2.5965 alpha=90.00 beta=119.08 gamma=90.00
Space group C2/m (No. 12)
Inequivalent atoms, fractional coordinates:
Mn 0.2500 0.2500 0.0000 (multiplicity 4)
Fe 0.0000 0.0000 0.5000 (multiplicity 2)
P 0.0000 0.5000 0.5000 (multiplicity 2)

raw total energy = -8.04 eV/atom
calculated volume = 11.41 Å³ per atom
ΔE_f = 0.013 eV per atom
crystal system = monoclinic

---

Density functional theory data (GGA-PBE) for a relaxed MnFe2P crystal.

Unit cell a=3.6629 b=3.6629 c=3.2276 alpha=90.00 beta=90.00 gamma=90.00
Space group P4/mmm (No. 123)
Inequivalent atoms, fractional coordinates:
Mn 0.0000 0.0000 0.0000 (multiplicity 1)
Fe 0.0000 0.5000 0.5000 (multiplicity 2)
P 0.5000 0.5000 0.0000 (multiplicity 1)

raw total energy = -8.07 eV/atom
calculated volume = 10.83 Å³ per atom
ΔE_f = -0.189 eV per atom
crystal system = tetragonal